[1]
Compound: Pr5Nd3Y
Source: Alexandria via LeMat-Bulk
Functional: PBE-GGA
Structure: relaxed

V	38.0	Å³ per atom
D(E_F)	1.403	states/eV per atom
energy relative to the elements	3.1	eV/f.u.

abc: 7.1241 7.1241 14.1625
angles: 93.66 93.66 72.51
Positions (direct):
Pr1 0.5624 0.9910 0.3325
Pr2 0.4376 0.0090 0.6675
Pr3 0.9910 0.5624 0.3325
Pr4 0.4875 0.4875 0.7420
Pr5 0.0090 0.4376 0.6675
Pr6 0.6752 0.3248 0.0000
Pr7 0.5125 0.5125 0.2580
Pr8 0.2339 0.2339 0.8832
Pr9 0.7661 0.7661 0.1168
Pr10 0.3248 0.6752 0.0000
Nd1 0.3560 0.3560 0.4938
Nd2 0.7422 0.7422 0.8802
Nd3 0.6440 0.6440 0.5062
Nd4 0.0000 0.0000 0.0000
Nd5 0.2578 0.2578 0.1198
Nd6 0.0000 0.0000 0.5000
Y1 0.0318 0.0318 0.2491
Y2 0.9682 0.9682 0.7509



[2]
Compound: Pr11Nd4Y9
Source: Alexandria via LeMat-Bulk
Functional: PBE-GGA
Structure: relaxed

V	34.9	Å³ per atom
D(E_F)	1.337	states/eV per atom
energy relative to the elements	1.3	eV/f.u.

abc: 3.7528 15.5628 15.5628
angles: 112.96 90.00 90.00
Positions (direct):
Pr1 0.0000 0.7094 0.7094
Pr2 0.0000 0.0000 0.0000
Pr3 0.0000 0.1593 0.8407
Pr4 0.0000 0.4070 0.0449
Pr5 0.0000 0.3668 0.6332
Pr6 0.0000 0.2906 0.2906
Pr7 0.0000 0.8407 0.1593
Pr8 0.0000 0.5930 0.9551
Pr9 0.0000 0.6332 0.3668
Pr10 0.0000 0.0449 0.4070
Pr11 0.0000 0.9551 0.5930
Y1 0.5000 0.9346 0.7883
Y2 0.5000 0.3661 0.8364
Y3 0.5000 0.2117 0.0654
Y4 0.5000 0.8364 0.3661
Y5 0.5000 0.1636 0.6339
Y6 0.5000 0.0654 0.2117
Y7 0.5000 0.7883 0.9346
Y8 0.5000 0.6339 0.1636
Y9 0.5000 0.5000 0.5000
Nd1 0.5000 0.5547 0.7562
Nd2 0.5000 0.7562 0.5547
Nd3 0.5000 0.2438 0.4453
Nd4 0.5000 0.4453 0.2438



[3]
Compound: Pr4Nd6Y
Source: Alexandria via LeMat-Bulk
Functional: PBE-GGA
Structure: relaxed

V	36.5	Å³ per atom
D(E_F)	1.549	states/eV per atom
energy relative to the elements	3.0	eV/f.u.

abc: 9.8407 9.8407 9.8407
angles: 58.88 139.32 139.32
Positions (direct):
Nd1 0.5000 0.5000 0.0000
Nd2 0.0000 0.4477 0.7945
Nd3 0.3468 0.5523 0.5523
Nd4 0.0000 0.7945 0.4477
Nd5 0.5000 0.0000 0.5000
Nd6 0.6532 0.2055 0.2055
Pr1 0.0000 0.6329 0.0109
Pr2 0.6220 0.9891 0.9891
Pr3 0.3780 0.3671 0.3671
Pr4 0.0000 0.0109 0.6329
Y1 0.0000 0.0000 0.0000



[4]
Compound: Pr5Nd6Y2
Source: Alexandria via LeMat-Bulk
Functional: PBE-GGA
Structure: relaxed

V	35.7	Å³ per atom
D(E_F)	1.238	states/eV per atom
energy relative to the elements	1.1	eV/f.u.

abc: 3.6829 11.9212 21.1260
angles: 90.00 90.00 90.00
Positions (direct):
Pr1 0.5000 0.5877 0.2738
Pr2 0.5000 0.5000 0.0000
Pr3 0.5000 0.0000 0.5000
Pr4 0.5000 0.1977 0.9457
Pr5 0.5000 0.8023 0.0543
Pr6 0.5000 0.3023 0.4457
Pr7 0.5000 0.6977 0.5543
Pr8 0.5000 0.0877 0.2262
Pr9 0.5000 0.9123 0.7738
Pr10 0.5000 0.4123 0.7262
Nd1 0.5000 0.6750 0.8625
Nd2 0.0000 0.4375 0.5803
Nd3 0.0000 0.5625 0.4197
Nd4 0.0000 0.0816 0.3676
Nd5 0.0000 0.4184 0.8676
Nd6 0.0000 0.0625 0.0803
Nd7 0.0000 0.9375 0.9197
Nd8 0.0000 0.5816 0.1324
Nd9 0.5000 0.1750 0.6375
Nd10 0.0000 0.9184 0.6324
Nd11 0.5000 0.3250 0.1375
Nd12 0.5000 0.8250 0.3625
Y1 0.0000 0.8306 0.2113
Y2 0.0000 0.1694 0.7887
Y3 0.0000 0.6694 0.7113
Y4 0.0000 0.3306 0.2887



[5]
Compound: Pr3Nd6Y2
Source: Alexandria via LeMat-Bulk
Functional: PBE-GGA
Structure: relaxed

V	36.8	Å³ per atom
D(E_F)	1.500	states/eV per atom
energy relative to the elements	2.9	eV/f.u.

abc: 4.8732 4.8732 17.3934
angles: 98.05 98.05 90.00
Positions (direct):
Pr1 0.0000 0.0000 0.0000
Pr2 0.7979 0.7979 0.5958
Pr3 0.2021 0.2021 0.4042
Nd1 0.6198 0.1198 0.2396
Nd2 0.3802 0.8802 0.7604
Nd3 0.8802 0.3802 0.7604
Nd4 0.6962 0.6962 0.3924
Nd5 0.1198 0.6198 0.2396
Nd6 0.3038 0.3038 0.6076
Y1 0.5455 0.5455 0.0911
Y2 0.4545 0.4545 0.9089



[6]
Compound: PrNd4Y7
Source: Alexandria via LeMat-Bulk
Functional: PBE-GGA
Structure: relaxed

V	33.5	Å³ per atom
D(E_F)	1.453	states/eV per atom
energy relative to the elements	0.2	eV/f.u.

abc: 7.2226 8.1052 11.9518
angles: 61.85 41.25 63.34
Positions (direct):
Nd1 0.7499 0.8335 0.6669
Nd2 0.2501 0.1665 0.3331
Nd3 0.5002 0.3330 0.6664
Nd4 0.4998 0.6670 0.3336
Y1 0.7501 0.5001 0.9998
Y2 0.0009 0.6662 0.3331
Y3 0.7500 0.1670 0.3332
Y4 0.2499 0.4999 0.0002
Y5 0.2500 0.8330 0.6668
Y6 0.5000 0.0000 0.0000
Y7 0.9991 0.3338 0.6669
Pr1 0.0000 0.0000 0.0000



[7]
Compound: Pr3NdY3
Source: Alexandria via LeMat-Bulk
Functional: PBE-GGA
Structure: relaxed

V	34.8	Å³ per atom
D(E_F)	1.407	states/eV per atom
energy relative to the elements	1.7	eV/f.u.

abc: 7.2362 6.6817 6.6817
angles: 107.73 111.16 111.16
Positions (direct):
Pr1 0.4593 0.0000 0.4379
Pr2 0.0214 0.5621 0.5621
Pr3 0.4593 0.4379 0.0000
Y1 0.9695 0.0000 0.3664
Y2 0.6031 0.6336 0.6336
Y3 0.9695 0.3664 0.0000
Nd1 0.4929 0.0000 0.0000



[8]
Compound: PrNd5Y
Source: Alexandria via LeMat-Bulk
Functional: PBE-GGA
Structure: relaxed

V	35.2	Å³ per atom
D(E_F)	1.524	states/eV per atom
energy relative to the elements	1.2	eV/f.u.

abc: 6.8635 6.7916 12.3951
angles: 97.34 73.93 117.50
Positions (direct):
Nd1 0.6345 0.2500 0.7310
Nd2 0.3111 0.8324 0.9154
Nd3 0.1833 0.4956 0.5776
Nd4 0.6889 0.1676 0.0846
Nd5 0.7610 0.9956 0.4224
Nd6 0.2390 0.0044 0.5776
Nd7 0.2266 0.3325 0.0846
Nd8 0.7734 0.6676 0.9154
Nd9 0.8167 0.5044 0.4224
Nd10 0.3655 0.7500 0.2690
Pr1 0.6632 0.7500 0.6736
Pr2 0.3368 0.2500 0.3264
Y1 0.9148 0.7500 0.1704
Y2 0.0852 0.2500 0.8296